DFT (PBE-GGA) results for Ce3Hg2N after structural relaxation.

Values from the calculation:
uncorrected formation energy	-530	meV per atom
total energy	-4.99	eV per atom

a = 5.298 Å, b = 16.719 Å, c = 3.345 Å
α = 90.00°, β = 90.00°, γ = 90.00°
Space group Cmmm (No. 65)
Unique sites:
Ce1 0.000 0.000 0.000 (multiplicity 2)
Ce2 0.000 0.400 0.500 (multiplicity 4)
Hg1 0.000 0.200 0.500 (multiplicity 4)
N1 0.000 0.500 0.000 (multiplicity 2)


DFT (PBE-GGA) results for K2TlAg2 after structural relaxation.

Values from the calculation:
E_form	-13	meV/atom
E above lowest polymorph	0.30	kcal/mol of atoms
total energy	-2.07	eV per atom

a = 5.056 Å, b = 5.773 Å, c = 11.216 Å
α = 90.00°, β = 90.00°, γ = 90.00°
Space group Immm (No. 71)
Unique sites:
K1 0.000 0.000 0.201 (multiplicity 4)
Tl1 0.000 0.500 0.000 (multiplicity 2)
Ag1 0.000 0.256 0.500 (multiplicity 4)


DFT (PBE-GGA) results for CaAsRh2 after structural relaxation.

Values from the calculation:
E_form	-509	meV/atom
total energy	-5.85	eV per atom

a = 4.117 Å, b = 4.117 Å, c = 4.629 Å
α = 90.00°, β = 90.00°, γ = 90.00°
Space group P4mm (No. 99)
Unique sites:
Ca1 0.000 0.000 0.000 (multiplicity 1)
As1 0.500 0.500 0.749 (multiplicity 1)
Rh1 0.000 0.500 0.484 (multiplicity 2)


DFT (PBE-GGA) results for Er8Tm2In3 after structural relaxation.

Values from the calculation:
E_form	137	meV/atom
total energy	-3.99	eV per atom

a = 6.3363 Å, b = 6.3363 Å, c = 34.6541 Å
α = 90.00°, β = 90.00°, γ = 120.00°
Space group R-3m (No. 166, hexagonal axes)
Unique sites:
Er1 0.0000 0.0000 0.2263 (multiplicity 6)
Er2 0.0011 0.5005 0.7203 (multiplicity 18)
Tm1 0.0000 0.0000 0.1361 (multiplicity 6)
In1 0.0000 0.0000 0.3120 (multiplicity 6)
In2 0.0000 0.0000 0.5000 (multiplicity 3)


DFT (PBE-GGA) results for Sb2IrRu after structural relaxation.

Values from the calculation:
E above lowest polymorph	1.87	kcal/mol of atoms
uncorrected formation energy	109	meV per atom
total energy	-6.49	eV per atom

a = 3.137 Å, b = 3.137 Å, c = 8.274 Å
α = 90.00°, β = 90.00°, γ = 90.00°
Space group P4mm (No. 99)
Unique sites:
Sb1 0.000 0.000 0.000 (multiplicity 1)
Sb2 0.500 0.500 0.393 (multiplicity 1)
Ir1 0.000 0.000 0.588 (multiplicity 1)
Ru1 0.500 0.500 0.810 (multiplicity 1)


DFT (PBE-GGA) results for Pm12Si5Pb after structural relaxation.

Values from the calculation:
uncorrected formation energy	-529	meV per atom
total energy	-5.41	eV per atom

a = 9.709 Å, b = 9.875 Å, c = 10.590 Å
α = 90.00°, β = 90.00°, γ = 90.00°
Space group Immm (No. 71)
Unique sites:
Pm1 0.000 0.199 0.228 (multiplicity 8)
Pm2 0.203 0.500 0.181 (multiplicity 8)
Pm3 0.229 0.318 0.500 (multiplicity 8)
Si1 0.000 0.000 0.000 (multiplicity 2)
Si2 0.000 0.377 0.000 (multiplicity 4)
Si3 0.000 0.500 0.387 (multiplicity 4)
Pb1 0.000 0.000 0.500 (multiplicity 2)


DFT (PBE-GGA) results for Fe2RuS2 after structural relaxation.

Values from the calculation:
E above lowest polymorph	0.00	kcal/mol of atoms
uncorrected formation energy	64	meV per atom
total energy	-6.83	eV per atom

a = 6.497 Å, b = 6.497 Å, c = 3.060 Å
α = 90.00°, β = 90.00°, γ = 90.00°
Space group P4/mbm (No. 127)
Unique sites:
Fe1 0.138 0.362 0.000 (multiplicity 4)
Ru1 0.000 0.000 0.500 (multiplicity 2)
S1 0.169 0.669 0.500 (multiplicity 4)


DFT (PBE-GGA) results for Pm2Pr6Dy3Ho after structural relaxation.

Values from the calculation:
E_form	12	meV/atom
total energy	-4.70	eV per atom

a = 6.332 Å, b = 10.970 Å, c = 11.982 Å
α = 90.00°, β = 100.12°, γ = 90.00°
Space group C2/m (No. 12)
Unique sites:
Pm1 0.000 0.167 0.000 (multiplicity 4)
Pr1 0.249 0.500 0.748 (multiplicity 4)
Pr2 0.250 0.166 0.748 (multiplicity 8)
Dy1 0.000 0.000 0.500 (multiplicity 2)
Dy2 0.000 0.333 0.500 (multiplicity 4)
Ho1 0.000 0.500 0.000 (multiplicity 2)